An optimized crystal structure of Pm4NdDy5, computed with PBE.

```
data_Pm4NdDy5
_chemical_formula_sum 'Pm4 Nd1 Dy5'
_space_group_name_H-M_alt 'P 1'
_space_group_IT_number 1
_cell_length_a 3.602
_cell_length_b 7.191
_cell_length_c 13.933
_cell_angle_alpha 97.41
_cell_angle_beta 112.76
_cell_angle_gamma 89.98
loop_
_space_group_symop_operation_xyz
'x,y,z'
loop_
_atom_site_label
_atom_site_fract_x
_atom_site_fract_y
_atom_site_fract_z
Pm1 0.306 0.800 0.203
Pm2 0.696 0.698 0.797
Pm3 0.694 0.200 0.797
Pm4 0.304 0.302 0.203
Nd1 0.500 0.000 0.000
Dy1 0.104 0.600 0.403
Dy2 0.104 0.101 0.403
Dy3 0.896 0.899 0.597
Dy4 0.500 0.500 0.000
Dy5 0.896 0.400 0.597
```

* energy relative to the lowest polymorph listed for this composition: 0 meV/atom
* D(E_F): 12.65 states/eV per cell
* M_tot: 0.00 μB per atom
* V: 329.5 Å³ per cell
* energy of formation: 0.01 eV/atom

An optimized crystal structure of Zr3CrSe8, computed with PBE.

```
data_Zr3CrSe8
_chemical_formula_sum 'Zr3 Cr1 Se8'
_space_group_name_H-M_alt 'P 1'
_space_group_IT_number 1
_cell_length_a 7.381
_cell_length_b 7.397
_cell_length_c 8.298
_cell_angle_alpha 117.07
_cell_angle_beta 90.00
_cell_angle_gamma 119.93
loop_
_space_group_symop_operation_xyz
'x,y,z'
loop_
_atom_site_label
_atom_site_fract_x
_atom_site_fract_y
_atom_site_fract_z
Zr1 0.500 0.000 0.000
Zr2 0.500 0.500 0.000
Zr3 0.000 0.500 0.000
Cr1 0.000 0.000 0.000
Se1 0.254 0.508 0.766
Se2 0.746 0.492 0.234
Se3 0.241 0.007 0.776
Se4 0.766 0.007 0.776
Se5 0.766 0.531 0.776
Se6 0.234 0.469 0.224
Se7 0.234 0.993 0.224
Se8 0.759 0.993 0.224
```

* D(E_F): 4.83 states/eV per cell
* M_tot: 0.21 μB per atom
* uncorrected formation energy: -1.078 eV/atom
* V: 334.2 Å³ per cell

An optimized crystal structure of SiRu2O, computed with PBE.

```
data_SiRu2O
_chemical_formula_sum 'Si2 Ru4 O2'
_space_group_name_H-M_alt 'P 1'
_space_group_IT_number 1
_cell_length_a 5.107
_cell_length_b 5.107
_cell_length_c 5.909
_cell_angle_alpha 64.40
_cell_angle_beta 64.40
_cell_angle_gamma 90.00
loop_
_space_group_symop_operation_xyz
'x,y,z'
loop_
_atom_site_label
_atom_site_fract_x
_atom_site_fract_y
_atom_site_fract_z
Ru1 0.572 0.125 0.250
Ru2 0.178 0.625 0.250
Ru3 0.375 0.428 0.750
Ru4 0.875 0.822 0.750
Si1 0.000 0.000 0.000
Si2 0.750 0.250 0.500
O1 0.500 0.500 0.000
O2 0.250 0.750 0.500
```

* energy relative to the lowest polymorph listed for this composition: 0 meV/atom
* D(E_F): 1.63 states/eV per cell
* M_tot: 0.00 μB per atom
* uncorrected formation energy: 0.004 eV/atom
* V: 122.0 Å³ per cell

An optimized crystal structure of K2SmSiO4, computed with PBE.

```
data_K2SmSiO4
_chemical_formula_sum 'K4 Sm2 Si2 O8'
_space_group_name_H-M_alt 'P 1'
_space_group_IT_number 1
_cell_length_a 5.769
_cell_length_b 6.872
_cell_length_c 11.898
_cell_angle_alpha 84.16
_cell_angle_beta 75.97
_cell_angle_gamma 65.18
loop_
_space_group_symop_operation_xyz
'x,y,z'
loop_
_atom_site_label
_atom_site_fract_x
_atom_site_fract_y
_atom_site_fract_z
K1 0.186 0.000 0.627
K2 0.814 0.000 0.373
K3 0.564 0.500 0.873
K4 0.936 0.500 0.127
Sm1 0.750 0.500 0.500
Sm2 0.000 0.000 0.000
Si1 0.250 0.500 0.500
Si2 0.500 0.000 0.000
O1 0.362 0.840 0.073
O2 0.275 0.160 0.927
O3 0.798 0.840 0.927
O4 0.565 0.160 0.073
O5 0.388 0.660 0.427
O6 0.475 0.340 0.573
O7 0.952 0.660 0.573
O8 0.185 0.340 0.427
```

* D(E_F): 4.10 states/eV per cell
* M_tot: 0.00 μB per atom
* uncorrected formation energy: -2.117 eV/atom
* V: 415.4 Å³ per cell

An optimized crystal structure of K2CuMo, computed with PBE.

```
data_K2CuMo
_chemical_formula_sum 'K2 Cu1 Mo1'
_space_group_name_H-M_alt 'P 1'
_space_group_IT_number 1
_cell_length_a 2.863
_cell_length_b 2.863
_cell_length_c 11.396
_cell_angle_alpha 90.00
_cell_angle_beta 90.00
_cell_angle_gamma 76.58
loop_
_space_group_symop_operation_xyz
'x,y,z'
loop_
_atom_site_label
_atom_site_fract_x
_atom_site_fract_y
_atom_site_fract_z
Cu1 0.500 0.500 0.750
K1 0.000 0.000 0.988
K2 0.000 0.000 0.512
Mo1 0.500 0.500 0.250
```

* energy relative to the lowest polymorph listed for this composition: 320 meV/atom
* D(E_F): 3.94 states/eV per cell
* M_tot: 0.07 μB per atom
* V: 90.9 Å³ per cell
* energy of formation: 1.19 eV/atom

An optimized crystal structure of CeTl2Au, computed with PBE.

```
data_CeTl2Au
_chemical_formula_sum 'Ce1 Tl2 Au1'
_space_group_name_H-M_alt 'P 1'
_space_group_IT_number 1
_cell_length_a 5.231
_cell_length_b 5.231
_cell_length_c 5.231
_cell_angle_alpha 60.00
_cell_angle_beta 60.00
_cell_angle_gamma 60.00
loop_
_space_group_symop_operation_xyz
'x,y,z'
loop_
_atom_site_label
_atom_site_fract_x
_atom_site_fract_y
_atom_site_fract_z
Tl1 0.250 0.250 0.250
Tl2 0.750 0.750 0.750
Au1 0.500 0.500 0.500
Ce1 0.000 0.000 0.000
```

* energy relative to the lowest polymorph listed for this composition: 171 meV/atom
* D(E_F): 6.65 states/eV per cell
* M_tot: 0.25 μB per atom
* V: 101.2 Å³ per cell
* energy of formation: -0.20 eV/atom

An optimized crystal structure of La3HoBi2, computed with PBE.

```
data_La3HoBi2
_chemical_formula_sum 'La3 Ho1 Bi2'
_space_group_name_H-M_alt 'P 1'
_space_group_IT_number 1
_cell_length_a 4.716
_cell_length_b 4.716
_cell_length_c 9.132
_cell_angle_alpha 90.00
_cell_angle_beta 90.00
_cell_angle_gamma 90.00
loop_
_space_group_symop_operation_xyz
'x,y,z'
loop_
_atom_site_label
_atom_site_fract_x
_atom_site_fract_y
_atom_site_fract_z
La1 0.500 0.000 0.352
La2 0.000 0.500 0.648
La3 0.000 0.000 0.000
Ho1 0.500 0.500 0.000
Bi1 0.500 0.000 0.724
Bi2 0.000 0.500 0.276
```

* D(E_F): 6.36 states/eV per cell
* M_tot: 0.00 μB per atom
* V: 203.1 Å³ per cell
* energy of formation: -0.68 eV/atom

An optimized crystal structure of KTa2Si, computed with PBE.

```
data_KTa2Si
_chemical_formula_sum 'K1 Ta2 Si1'
_space_group_name_H-M_alt 'P 1'
_space_group_IT_number 1
_cell_length_a 4.400
_cell_length_b 3.166
_cell_length_c 7.795
_cell_angle_alpha 77.39
_cell_angle_beta 90.00
_cell_angle_gamma 90.00
loop_
_space_group_symop_operation_xyz
'x,y,z'
loop_
_atom_site_label
_atom_site_fract_x
_atom_site_fract_y
_atom_site_fract_z
K1 0.500 0.250 0.250
Si1 0.500 0.750 0.750
Ta1 0.000 0.947 0.884
Ta2 0.000 0.553 0.616
```

* D(E_F): 3.15 states/eV per cell
* M_tot: 0.00 μB per atom
* uncorrected formation energy: 0.717 eV/atom
* V: 105.9 Å³ per cell